1.
The following is a GGA-PBE calculation of NiW2 after structural relaxation, from Alexandria via LeMat-Bulk.

a b c (Å): 6.7657 6.7657 3.3060
angles (deg): 90.00 90.00 120.00
Closest atoms and distances in Å follow each position.
Space group P-62m (No. 189)
Asymmetric unit:
Ni 0.0000 0.0000 0.0000 (multiplicity 1)  9 W 2.44-2.69
Ni 0.3333 0.6667 0.5000 (multiplicity 2)  9 W 2.52-2.65
W 0.0000 0.2655 0.5000 (multiplicity 3)  4 Ni 2.44-2.52
W 0.0000 0.6025 0.0000 (multiplicity 3)  5 Ni 2.65-2.69, 6 W 2.82-2.89

- Energy of formation: 0.2286 eV per atom
- Energy relative to the lowest polymorph listed for this composition: 0.44 eV/f.u.

2.
The following is a GGA-PBE calculation of Ni2W after structural relaxation, from Alexandria via LeMat-Bulk.

a b c (Å): 5.7746 5.7746 5.0230
angles (deg): 90.00 90.00 90.00
Closest atoms and distances in Å follow each position.
Space group I4/mcm (No. 140)
Asymmetric unit:
Ni 0.1369 0.3631 0.0000 (multiplicity 8)  1 Ni 2.24
W 0.0000 0.0000 0.2500 (multiplicity 4)  2 W 2.51, 8 Ni 2.57

- Energy of formation: 0.5319 eV per atom

3.
The following is a GGA-PBE calculation of NiW3 after structural relaxation, from Alexandria via LeMat-Bulk.

a b c (Å): 3.3111 4.3437 8.3942
angles (deg): 90.00 90.00 90.00
Closest atoms and distances in Å follow each position.
Space group Immm (No. 71)
Asymmetric unit:
Ni 0.0000 0.0000 0.0000 (multiplicity 2)  12 W 2.70-3.00
W 0.0000 0.0000 0.5000 (multiplicity 2)  4 W 2.65, 4 Ni 2.73
W 0.0000 0.5000 0.2466 (multiplicity 4)  6 W 2.65-2.73, 2 Ni 2.70

- Energy of formation: 0.1981 eV per atom

4.
The following is a GGA-PBE calculation of Ni13W2 after structural relaxation, from Alexandria via LeMat-Bulk.

a b c (Å): 6.3569 6.3569 17.7985
angles (deg): 90.00 90.00 120.00
Closest atoms and distances in Å follow each position.
Space group R-3m (No. 166, hexagonal axes)
Asymmetric unit:
Ni 0.0000 0.0000 0.0000 (multiplicity 3)  12 Ni 2.44-2.73, 2 W 2.44
Ni 0.0729 0.5365 0.4208 (multiplicity 18)  5 Ni 2.38-2.48, 2 W 2.41
Ni 0.0832 0.5416 0.2864 (multiplicity 18)  6 Ni 2.38-2.44
W 0.0000 0.0000 0.1372 (multiplicity 6)  7 Ni 2.41-2.44

- Energy of formation: 0.4961 eV per atom

5.
The following is a GGA-PBE calculation of NiW2 after structural relaxation, from Alexandria via LeMat-Bulk.

a b c (Å): 2.6835 2.6835 24.8116
angles (deg): 90.00 90.00 90.00
Closest atoms and distances in Å follow each position.
Space group I4_1/amd (No. 141, origin choice 2)
Asymmetric unit:
Ni 0.0000 0.2500 0.3750 (multiplicity 4)  8 W 2.67, 4 Ni 2.68
W 0.0000 0.2500 0.7993 (multiplicity 8)  4 Ni 2.67, 6 W 2.68-2.79

- Energy of formation: 0.3623 eV per atom
- Energy relative to the lowest polymorph listed for this composition: 0.84 eV/f.u.

6.
The following is a GGA-PBE calculation of NiW4 after structural relaxation, from Alexandria via LeMat-Bulk.

a b c (Å): 5.6049 5.6049 5.6049
angles (deg): 90.00 90.00 90.00
Closest atoms and distances in Å follow each position.
Space group Im-3m (No. 229)
Asymmetric unit:
Ni 0.0000 0.0000 0.0000 (multiplicity 2)  8 W 2.43
W 0.2500 0.2500 0.2500 (multiplicity 8)  2 Ni 2.43

- Energy of formation: 1.2880 eV per atom
- Energy relative to the lowest polymorph listed for this composition: 5.44 eV/f.u.

7.
The following is a GGA-PBE calculation of Ni2W after structural relaxation, from Alexandria via LeMat-Bulk.

a b c (Å): 5.7025 5.7025 5.7025
angles (deg): 90.00 90.00 90.00
Closest atoms and distances in Å follow each position.
Space group Pa-3 (No. 205)
Asymmetric unit:
Ni 0.1179 0.1179 0.1179 (multiplicity 8)  1 Ni 2.33, 3 W 2.38
W 0.0000 0.0000 0.5000 (multiplicity 4)  6 Ni 2.38

- Energy of formation: 1.0587 eV per atom

8.
The following is a GGA-PBE calculation of NiW2 after structural relaxation, from Alexandria via LeMat-Bulk.

a b c (Å): 5.2281 5.2281 8.2851
angles (deg): 90.00 90.00 120.00
Closest atoms and distances in Å follow each position.
Space group P6_3/mmc (No. 194)
Asymmetric unit:
Ni 0.3333 0.6667 0.0762 (multiplicity 4)  1 Ni 2.88, 12 W 2.98-3.08
W 0.0000 0.0000 0.0000 (multiplicity 2)  6 W 2.59
W 0.1712 0.3423 0.7500 (multiplicity 6)  6 W 2.54-2.68

- Energy of formation: 0.7742 eV per atom
- Energy relative to the lowest polymorph listed for this composition: 2.07 eV/f.u.

9.
The following is a GGA-PBE calculation of NiW5 after structural relaxation, from Alexandria via LeMat-Bulk.

a b c (Å): 2.6836 2.6836 12.9384
angles (deg): 90.00 90.00 90.00
Closest atoms and distances in Å follow each position.
Space group P4/mmm (No. 123)
Asymmetric unit:
Ni 0.0000 0.0000 0.0000 (multiplicity 1)  8 W 2.66, 4 Ni 2.68
W 0.0000 0.0000 0.3219 (multiplicity 2)  12 W 2.68-2.99
W 0.5000 0.5000 0.1445 (multiplicity 2)  4 Ni 2.66, 8 W 2.68-2.98
W 0.5000 0.5000 0.5000 (multiplicity 1)  12 W 2.68-2.99

- Energy of formation: 0.2467 eV per atom
- Energy relative to the lowest polymorph listed for this composition: 0.00 eV/f.u.

10.
The following is a GGA-PBE calculation of Ni2W after structural relaxation, from Alexandria via LeMat-Bulk.

a b c (Å): 7.7758 4.5278 4.2530
angles (deg): 90.00 90.00 90.00
Closest atoms and distances in Å follow each position.
Space group Cmcm (No. 63)
Asymmetric unit:
Ni 0.1713 0.1729 0.2500 (multiplicity 8)  5 W 2.55-2.70, 7 Ni 2.55-2.66
W 0.0000 0.3075 0.7500 (multiplicity 4)  10 Ni 2.55-2.70, 2 W 2.75

- Energy of formation: -0.0864 eV per atom

11.
The following is a GGA-PBE calculation of NiW2 after structural relaxation, from Alexandria via LeMat-Bulk.

a b c (Å): 4.1259 4.1259 2.8588
angles (deg): 90.00 90.00 90.00
Closest atoms and distances in Å follow each position.
Space group P4/mmm (No. 123)
Asymmetric unit:
Ni 0.0000 0.0000 0.0000 (multiplicity 1)  8 W 2.51
W 0.0000 0.5000 0.5000 (multiplicity 2)  4 Ni 2.51

- Energy of formation: 0.9469 eV per atom
- Energy relative to the lowest polymorph listed for this composition: 2.59 eV/f.u.

12.
The following is a GGA-PBE calculation of Ni2W after structural relaxation, from Alexandria via LeMat-Bulk.

a b c (Å): 2.5867 3.9452 15.8083
angles (deg): 90.00 90.00 90.00
Closest atoms and distances in Å follow each position.
Space group Imma (No. 74)
Asymmetric unit:
Ni 0.0000 0.2500 0.0385 (multiplicity 4)  5 Ni 2.32-2.59
Ni 0.0000 0.2500 0.1884 (multiplicity 4)  5 Ni 2.34-2.59
W 0.0000 0.2500 0.6112 (multiplicity 4)  2 W 2.59, 10 Ni 2.62-2.70

- Energy of formation: 0.2292 eV per atom

| no. | M_tot (μB/cell) |
| --- | --- |
| 1 | 0.0 |
| 2 | 0.0 |
| 3 | 0.0 |
| 4 | 0.0 |
| 5 | 0.0 |
| 6 | 0.0 |
| 7 | 0.0 |
| 8 | 0.0 |
| 9 | 0.0 |
| 10 | 0.0 |
| 11 | 0.0 |
| 12 | 0.0 |